(1)
Ho4Te5Pt: relaxed, PBE.

Computed properties:
formation energy from raw total energies = -1.16 eV per atom
E = -0.190 hartree per atom
magnetic moment = 0.0 μB per formula unit

Lattice parameters (Å, degrees): 9.5792 9.5792 8.6424 103.71 103.71 25.57
Sites, in units of the cell vectors:
Ho 0.0021 0.0021 0.2458
Ho 0.3327 0.3327 0.9062
Ho 0.6673 0.6673 0.0938
Ho 0.9979 0.9979 0.7542
Te 0.1645 0.1645 0.8336
Te 0.1653 0.1653 0.3369
Te 0.5000 0.5000 0.5000
Te 0.8347 0.8347 0.6631
Te 0.8355 0.8355 0.1664
Pt 0.5000 0.5000 0.0000

(2)
SrDyPb6: relaxed, PBE.

Computed properties:
E = -0.143 hartree per atom
magnetic moment = 0.0 μB per formula unit
formation energy from the elements = -2.57 eV/f.u.

Lattice parameters (Å, degrees): 4.9791 4.9791 9.7987 90.00 90.00 90.00
Sites, in units of the cell vectors:
Sr 0.0000 0.0000 0.0000
Dy 0.0000 0.0000 0.5000
Pb 0.0000 0.5000 0.2576
Pb 0.0000 0.5000 0.7424
Pb 0.5000 0.0000 0.2576
Pb 0.5000 0.0000 0.7424
Pb 0.5000 0.5000 0.0000
Pb 0.5000 0.5000 0.5000

(3)
Cs3Fe5I12: relaxed, PBE.

Computed properties:
formation energy from raw total energies = -0.43 eV per atom
E = -0.133 hartree per atom
magnetic moment = 19.0 μB per formula unit

Lattice parameters (Å, degrees): 16.1272 16.1272 16.1272 109.47 109.47 109.47
Sites, in units of the cell vectors:
Cs 0.1250 0.2500 0.3750
Cs 0.1250 0.3750 0.7500
Cs 0.2500 0.3750 0.1250
Cs 0.2500 0.8750 0.6250
Cs 0.3750 0.1250 0.2500
Cs 0.3750 0.7500 0.1250
Cs 0.6250 0.2500 0.8750
Cs 0.6250 0.8750 0.7500
Cs 0.7500 0.1250 0.3750
Cs 0.7500 0.6250 0.8750
Cs 0.8750 0.6250 0.2500
Cs 0.8750 0.7500 0.6250
Fe 0.0000 0.0000 0.0000
Fe 0.0000 0.0000 0.5000
Fe 0.0000 0.5000 0.0000
Fe 0.0000 0.5000 0.5000
Fe 0.1250 0.7500 0.8750
Fe 0.1250 0.8750 0.2500
Fe 0.2500 0.1250 0.8750
Fe 0.2500 0.6250 0.3750
Fe 0.3750 0.2500 0.6250
Fe 0.3750 0.6250 0.7500
Fe 0.5000 0.0000 0.0000
Fe 0.5000 0.0000 0.5000
Fe 0.5000 0.5000 0.0000
Fe 0.5000 0.5000 0.5000
Fe 0.6250 0.3750 0.2500
Fe 0.6250 0.7500 0.3750
Fe 0.7500 0.3750 0.6250
Fe 0.7500 0.8750 0.1250
Fe 0.8750 0.1250 0.7500
Fe 0.8750 0.2500 0.1250
I 0.0054 0.1905 0.1021
I 0.0054 0.3149 0.9033
I 0.0884 0.6905 0.6851
I 0.0884 0.8979 0.4033
I 0.0967 0.6021 0.4116
I 0.0967 0.9946 0.6851
I 0.1021 0.0054 0.1905
I 0.1021 0.5967 0.9116
I 0.1851 0.1905 0.5884
I 0.1851 0.4946 0.5967
I 0.1905 0.1021 0.0054
I 0.1905 0.5884 0.1851
I 0.3095 0.3149 0.9116
I 0.3095 0.4946 0.3979
I 0.3149 0.9033 0.0054
I 0.3149 0.9116 0.3095
I 0.3979 0.3095 0.4946
I 0.3979 0.5884 0.9033
I 0.4033 0.0884 0.8979
I 0.4033 0.8149 0.5054
I 0.4116 0.0967 0.6021
I 0.4116 0.8149 0.8095
I 0.4946 0.3979 0.3095
I 0.4946 0.5967 0.1851
I 0.5054 0.4033 0.8149
I 0.5054 0.6021 0.6905
I 0.5884 0.1851 0.1905
I 0.5884 0.9033 0.3979
I 0.5967 0.1851 0.4946
I 0.5967 0.9116 0.1021
I 0.6021 0.4116 0.0967
I 0.6021 0.6905 0.5054
I 0.6851 0.0884 0.6905
I 0.6851 0.0967 0.9946
I 0.6905 0.5054 0.6021
I 0.6905 0.6851 0.0884
I 0.8095 0.4116 0.8149
I 0.8095 0.8979 0.9946
I 0.8149 0.5054 0.4033
I 0.8149 0.8095 0.4116
I 0.8979 0.4033 0.0884
I 0.8979 0.9946 0.8095
I 0.9033 0.0054 0.3149
I 0.9033 0.3979 0.5884
I 0.9116 0.1021 0.5967
I 0.9116 0.3095 0.3149
I 0.9946 0.6851 0.0967
I 0.9946 0.8095 0.8979

(4)
AlAgSn: relaxed, PBE.

Computed properties:
E = -0.128 hartree per atom
magnetic moment = 0.0 μB per formula unit
formation energy from the elements = 0.17 eV/f.u.

Lattice parameters (Å, degrees): 6.4791 3.1577 6.4962 90.00 106.78 90.00
Sites, in units of the cell vectors:
Al 0.0579 0.2500 0.1917
Al 0.9421 0.7500 0.8083
Ag 0.3576 0.7500 0.1008
Ag 0.6424 0.2500 0.8992
Sn 0.2745 0.7500 0.6033
Sn 0.7255 0.2500 0.3967

(5)
AgSnGe2: relaxed, PBE.

Computed properties:
E = -0.140 hartree per atom
magnetic moment = 0.0 μB per formula unit
formation energy from the elements = 0.88 eV/f.u.

Lattice parameters (Å, degrees): 4.2162 4.2162 19.7900 90.00 90.00 90.00
Sites, in units of the cell vectors:
Ag 0.0000 0.0000 0.0000
Ag 0.0000 0.5000 0.2500
Ag 0.5000 0.0000 0.7500
Ag 0.5000 0.5000 0.5000
Sn 0.0000 0.0000 0.5000
Sn 0.0000 0.5000 0.7500
Sn 0.5000 0.0000 0.2500
Sn 0.5000 0.5000 0.0000
Ge 0.1970 0.2500 0.1250
Ge 0.2500 0.6970 0.3750
Ge 0.2500 0.8030 0.8750
Ge 0.3030 0.2500 0.6250
Ge 0.6970 0.7500 0.6250
Ge 0.7500 0.1970 0.8750
Ge 0.7500 0.3030 0.3750
Ge 0.8030 0.7500 0.1250

(6)
AlReP: relaxed, PBE.

Computed properties:
E = -0.272 hartree per atom
magnetic moment = 0.0 μB per formula unit
formation energy from the elements = -0.58 eV/f.u.
energy above the lowest structure with this stoichiometry = 44 meV per atom

Lattice parameters (Å, degrees): 3.0875 3.0875 9.0684 90.00 90.00 90.00
Sites, in units of the cell vectors:
Al 0.0000 0.0000 0.0000
Al 0.5000 0.5000 0.5000
Re 0.0000 0.0000 0.3104
Re 0.5000 0.5000 0.8104
P 0.0000 0.0000 0.6896
P 0.5000 0.5000 0.1896